DFT (PBE) results for crystalline AlZn6Ag8 at its relaxed geometry.

Energy above the lowest structure with this stoichiometry in eV per formula unit: 0.181
Magnetic moment in μB/atom: 0.000
Fermi-level density of states in states/eV/f.u.: 3.37
Formation energy from the elements in eV per atom: 0.0713

Lattice parameters (Å, degrees): 6.9613 6.9613 6.9613 66.46 66.46 66.46
Fractional coordinates of all 15 atoms:
Al (0.0000, 0.0000, 0.0000)
Zn (0.0534, 0.7190, 0.3847)
Zn (0.2810, 0.6153, 0.9466)
Zn (0.3847, 0.0534, 0.7190)
Zn (0.6153, 0.9466, 0.2810)
Zn (0.7190, 0.3847, 0.0534)
Zn (0.9466, 0.2810, 0.6153)
Ag (0.1170, 0.4481, 0.7850)
Ag (0.2150, 0.8830, 0.5519)
Ag (0.3322, 0.3322, 0.3322)
Ag (0.4481, 0.7850, 0.1170)
Ag (0.5519, 0.2150, 0.8830)
Ag (0.6678, 0.6678, 0.6678)
Ag (0.7850, 0.1170, 0.4481)
Ag (0.8830, 0.5519, 0.2150)